(1)
First-principles (PBE-GGA) data for a relaxed structure of PmHo6Sc2, as listed in the Alexandria database.

Cell and atoms, written as POSCAR:
```
PmHo6Sc2
1.0
6.5772 -5.6944 0.0000
6.5772 5.6944 0.0000
-5.0840 0.0000 7.2228
Pm Ho Sc
2 12 4
direct
0.0796 0.9204 0.7500
0.9204 0.0796 0.2500
0.1163 0.3014 0.1338
0.1973 0.4992 0.5919
0.2984 0.5362 0.0156
0.3014 0.1163 0.6338
0.4638 0.7016 0.4844
0.4992 0.1973 0.0919
0.5008 0.8027 0.9081
0.5362 0.2984 0.5156
0.6986 0.8837 0.3661
0.7016 0.4638 0.9844
0.8027 0.5008 0.4081
0.8837 0.6986 0.8662
0.0595 0.7211 0.3014
0.2789 0.9405 0.1986
0.7211 0.0595 0.8014
0.9405 0.2789 0.6986
```

Summary:
The total magnetic moment comes out at 0.0 μB/f.u. As for the space-group type: C2/c. As for the crystal system: monoclinic. The calculation puts the polymorph energy (0 for the lowest one) at 0 meV/atom.


(2)
First-principles (PBE-GGA) data for a relaxed structure of PmHo15Sc4, as listed in the Alexandria database.

Cell and atoms, written as POSCAR:
```
PmHo15Sc4
1.0
4.9227 0.0000 0.0000
0.0000 4.9227 0.0000
0.0000 0.0000 24.5542
Pm Ho Sc
1 15 4
direct
0.0000 0.0000 0.0000
0.0000 0.5000 0.1045
0.0000 0.5000 0.3023
0.0000 0.5000 0.5000
0.0000 0.5000 0.6977
0.0000 0.5000 0.8955
0.5000 0.0000 0.1045
0.5000 0.0000 0.3023
0.5000 0.0000 0.5000
0.5000 0.0000 0.6977
0.5000 0.0000 0.8955
0.5000 0.5000 0.0000
0.5000 0.5000 0.2041
0.5000 0.5000 0.4012
0.5000 0.5000 0.5988
0.5000 0.5000 0.7959
0.0000 0.0000 0.2032
0.0000 0.0000 0.4012
0.0000 0.0000 0.5988
0.0000 0.0000 0.7968
```

Summary:
The total magnetic moment comes out at 0.0 μB/f.u. As for the space-group type: P4/mmm. As for the crystal system: tetragonal. For the uncorrected energy, the calculation gives -4.899 eV/atom.


(3)
First-principles (PBE-GGA) data for a relaxed structure of Pm8Ho3Sc2, as listed in the Alexandria database.

Cell and atoms, written as POSCAR:
```
Pm8Ho3Sc2
1.0
7.5169 -4.5992 0.0000
7.5169 4.5992 0.0000
-2.2186 0.0000 6.3721
Pm Ho Sc
8 3 2
direct
0.0585 0.6965 0.3049
0.0975 0.0975 0.2132
0.3035 0.9415 0.6951
0.3112 0.3112 0.6093
0.6888 0.6888 0.3907
0.6965 0.0585 0.3049
0.9025 0.9025 0.7868
0.9415 0.3035 0.6951
0.3312 0.6688 0.0000
0.5000 0.5000 0.5000
0.6688 0.3312 0.0000
0.3061 0.3061 0.0817
0.6939 0.6939 0.9183
```

Summary:
The total magnetic moment comes out at 0.0 μB/f.u. As for the space-group type: C2/m. As for the crystal system: monoclinic. The calculation puts the polymorph energy (0 for the lowest one) at 3 meV/atom.


(4)
First-principles (PBE-GGA) data for a relaxed structure of Pm5Ho4Sc, as listed in the Alexandria database.

Cell and atoms, written as POSCAR:
```
Pm5Ho4Sc
1.0
3.5906 0.0000 0.0000
0.0000 3.5906 0.0000
0.0000 0.0000 24.7579
Pm Ho Sc
5 4 1
direct
0.0000 0.0000 0.0000
0.0000 0.0000 0.2037
0.0000 0.0000 0.4071
0.0000 0.0000 0.5929
0.0000 0.0000 0.7962
0.5000 0.5000 0.1018
0.5000 0.5000 0.3055
0.5000 0.5000 0.6945
0.5000 0.5000 0.8982
0.5000 0.5000 0.5000
```

Summary:
The total magnetic moment comes out at 0.0 μB/f.u. As for the space-group type: P4/mmm. As for the crystal system: tetragonal. The calculation puts the polymorph energy (0 for the lowest one) at 0 meV/atom.


(5)
First-principles (PBE-GGA) data for a relaxed structure of Pm4Ho7Sc, as listed in the Alexandria database.

Cell and atoms, written as POSCAR:
```
Pm4Ho7Sc
1.0
5.6957 -2.6600 0.0000
5.6957 2.6600 0.0000
-3.2435 0.0000 12.6910
Pm Ho Sc
4 7 1
direct
0.0382 0.0382 0.2835
0.3224 0.3224 0.2371
0.6776 0.6776 0.7629
0.9618 0.9618 0.7165
0.1382 0.1382 0.9655
0.2662 0.2662 0.6010
0.4117 0.4117 0.8712
0.5000 0.5000 0.5000
0.5883 0.5883 0.1288
0.7338 0.7338 0.3990
0.8618 0.8618 0.0345
0.0000 0.0000 0.5000
```

Summary:
The total magnetic moment comes out at 0.3 μB/f.u. As for the space-group type: C2/m. As for the crystal system: monoclinic. The calculation puts the polymorph energy (0 for the lowest one) at 46 meV/atom.


(6)
First-principles (PBE-GGA) data for a relaxed structure of Pm2Ho2Sc5, as listed in the Alexandria database.

Cell and atoms, written as POSCAR:
```
Pm2Ho2Sc5
1.0
-5.7982 4.1761 5.2945
5.7982 -4.1761 5.2945
5.7982 4.1761 -5.2945
Pm Ho Sc
4 4 10
direct
0.1208 0.1033 0.2241
0.1208 0.3967 0.5175
0.8792 0.6033 0.4825
0.8792 0.8967 0.7759
0.5634 0.0634 0.5000
0.5634 0.5634 0.0000
0.5828 0.4419 0.6409
0.8010 0.9419 0.3591
0.2429 0.1790 0.8122
0.2429 0.9307 0.5639
0.2991 0.7879 0.0112
0.3669 0.4307 0.1878
0.3669 0.6790 0.4361
0.5984 0.1955 0.2041
0.5984 0.8942 0.9029
0.7767 0.2879 0.9888
0.9913 0.3942 0.7959
0.9913 0.6955 0.0971
```

Summary:
The total magnetic moment comes out at 0.0 μB/f.u. As for the space-group type: Ima2. As for the crystal system: orthorhombic. For the uncorrected energy, the calculation gives -5.397 eV/atom.


(7)
First-principles (PBE-GGA) data for a relaxed structure of Pm5Ho2Sc2, as listed in the Alexandria database.

Cell and atoms, written as POSCAR:
```
Pm5Ho2Sc2
1.0
9.5757 -3.5325 0.0000
9.5757 3.5325 0.0000
-1.9778 0.0000 8.4386
Pm Ho Sc
10 4 4
direct
0.0000 0.0000 0.0000
0.1224 0.6245 0.6733
0.1762 0.6722 0.2810
0.3611 0.8627 0.3420
0.4170 0.9151 0.9566
0.5378 0.5378 0.6255
0.6245 0.1224 0.6733
0.6722 0.1762 0.2810
0.8627 0.3611 0.3420
0.9151 0.4170 0.9566
0.0357 0.0357 0.6242
0.2158 0.2158 0.6465
0.4995 0.4995 0.0016
0.7686 0.7686 0.3139
0.2689 0.2689 0.3075
0.3232 0.3232 0.9808
0.7150 0.7150 0.6509
0.8225 0.8225 0.9750
```

Summary:
The total magnetic moment comes out at 0.0 μB/f.u. As for the space-group type: Cm. As for the crystal system: monoclinic. The calculation puts the polymorph energy (0 for the lowest one) at 0 meV/atom.


(8)
First-principles (PBE-GGA) data for a relaxed structure of Pm10Ho4Sc, as listed in the Alexandria database.

Cell and atoms, written as POSCAR:
```
Pm10Ho4Sc
1.0
-4.9034 4.9034 5.2352
4.9034 -4.9034 5.2352
4.9034 4.9034 -5.2352
Pm Ho Sc
10 4 1
direct
0.0467 0.9484 0.6747
0.0516 0.7263 0.0983
0.2500 0.7500 0.5000
0.2737 0.3720 0.3253
0.3720 0.0467 0.0983
0.6280 0.9533 0.9017
0.7263 0.6280 0.6747
0.7500 0.2500 0.5000
0.9484 0.2737 0.9017
0.9533 0.0516 0.3253
0.1758 0.5590 0.7348
0.4410 0.1758 0.6169
0.5590 0.8242 0.3831
0.8242 0.4410 0.2652
0.5000 0.5000 0.0000
```

Summary:
The total magnetic moment comes out at 0.0 μB/f.u. As for the space-group type: I4/m. As for the crystal system: tetragonal. For the uncorrected energy, the calculation gives -4.469 eV/atom.


(9)
First-principles (PBE-GGA) data for a relaxed structure of Pm3HoSc4, as listed in the Alexandria database.

Cell and atoms, written as POSCAR:
```
Pm3HoSc4
1.0
10.9087 0.0000 0.0000
0.0000 7.0950 0.0000
0.0000 0.0000 5.9933
Pm Ho Sc
6 2 8
direct
0.0000 0.1375 0.0000
0.2504 0.1368 0.3524
0.2496 0.8632 0.8524
0.5000 0.8625 0.5000
0.7496 0.1368 0.3524
0.7504 0.8632 0.8524
0.0000 0.8605 0.4983
0.5000 0.1395 0.9983
0.0000 0.3888 0.5107
0.0000 0.6106 0.0107
0.2481 0.6106 0.3409
0.2519 0.3894 0.8409
0.5000 0.3893 0.5107
0.5000 0.6112 0.0107
0.7481 0.3894 0.8409
0.7519 0.6106 0.3409
```

Summary:
The total magnetic moment comes out at 0.0 μB/f.u. As for the space-group type: Pmn2_1. As for the crystal system: orthorhombic. For the uncorrected energy, the calculation gives -5.469 eV/atom.


(10)
First-principles (PBE-GGA) data for a relaxed structure of Pm11Ho9Sc4, as listed in the Alexandria database.

Cell and atoms, written as POSCAR:
```
Pm11Ho9Sc4
1.0
8.3762 -12.6843 0.0000
8.3762 12.6843 0.0000
0.0000 0.0000 3.5826
Pm Ho Sc
11 9 4
direct
0.0000 0.0000 0.0000
0.0457 0.4063 0.0000
0.1598 0.8402 0.0000
0.2982 0.2982 0.0000
0.3706 0.6294 0.0000
0.4063 0.0457 0.0000
0.5937 0.9543 0.0000
0.6294 0.3706 0.0000
0.7018 0.7018 0.0000
0.8402 0.1598 0.0000
0.9543 0.5937 0.0000
0.0731 0.2172 0.5000
0.1667 0.6286 0.5000
0.2172 0.0731 0.5000
0.3714 0.8333 0.5000
0.5000 0.5000 0.5000
0.6286 0.1667 0.5000
0.7828 0.9269 0.5000
0.8333 0.3714 0.5000
0.9269 0.7828 0.5000
0.2412 0.4455 0.5000
0.4455 0.2412 0.5000
0.5545 0.7588 0.5000
0.7588 0.5545 0.5000
```

Summary:
The total magnetic moment comes out at 0.0 μB/f.u. As for the space-group type: Cmmm. As for the crystal system: orthorhombic. For the uncorrected energy, the calculation gives -4.901 eV/atom.


(11)
First-principles (PBE-GGA) data for a relaxed structure of PmHo12Sc2, as listed in the Alexandria database.

Cell and atoms, written as POSCAR:
```
PmHo12Sc2
1.0
2.0774 -30.6366 0.0000
2.0774 30.6366 0.0000
0.0000 0.0000 3.6320
Pm Ho Sc
1 12 2
direct
0.0000 0.0000 0.0000
0.0723 0.9277 0.0000
0.1958 0.8042 0.0000
0.2715 0.7286 0.5000
0.3370 0.6630 0.5000
0.3935 0.6065 0.5000
0.4629 0.5371 0.5000
0.5371 0.4629 0.5000
0.6065 0.3935 0.5000
0.6630 0.3370 0.5000
0.7286 0.2715 0.5000
0.8042 0.1958 0.0000
0.9277 0.0723 0.0000
0.1349 0.8651 0.0000
0.8651 0.1349 0.0000
```

Summary:
The total magnetic moment comes out at 0.0 μB/f.u. As for the space-group type: Cmmm. As for the crystal system: orthorhombic. For the uncorrected energy, the calculation gives -4.690 eV/atom.


(12)
First-principles (PBE-GGA) data for a relaxed structure of Pm4Ho5Sc2, as listed in the Alexandria database.

Cell and atoms, written as POSCAR:
```
Pm4Ho5Sc2
1.0
8.9917 -2.4910 0.0000
8.9917 2.4910 0.0000
-2.0812 0.0000 7.5960
Pm Ho Sc
4 5 2
direct
0.0440 0.0440 0.2226
0.3177 0.3177 0.5944
0.6823 0.6823 0.4056
0.9560 0.9560 0.7774
0.1353 0.1353 0.6861
0.2266 0.2266 0.1303
0.5000 0.5000 0.5000
0.7734 0.7734 0.8697
0.8647 0.8647 0.3139
0.4098 0.4098 0.0467
0.5902 0.5902 0.9533
```

Summary:
The total magnetic moment comes out at 0.0 μB/f.u. As for the space-group type: C2/m. As for the crystal system: monoclinic. The calculation puts the polymorph energy (0 for the lowest one) at 0 meV/atom.